No. 1
Compound: PmTh3Hg7
Source: Alexandria
Functional: GGA-PBE
Structure: relaxed

N(E_F), states/eV/atom: 0.835
Calculated total energy, eV for the cell shown: -62.154
V, Å³/cell: 606
SG: No. 63
Energy of formation, eV/atom: -0.178

a b c (Å): 11.192 11.192 15.472
angles (deg): 90.00 90.00 161.78
Sites, in units of the cell vectors:
Pm (0.028, 0.972, 0.750)
Pm (0.972, 0.028, 0.250)
Th (0.113, 0.887, 0.029)
Th (0.113, 0.887, 0.471)
Th (0.243, 0.757, 0.750)
Th (0.757, 0.243, 0.250)
Th (0.887, 0.113, 0.529)
Th (0.887, 0.113, 0.971)
Hg (0.251, 0.749, 0.077)
Hg (0.251, 0.749, 0.423)
Hg (0.370, 0.630, 0.153)
Hg (0.370, 0.630, 0.347)
Hg (0.392, 0.608, 0.750)
Hg (0.499, 0.501, 0.091)
Hg (0.499, 0.501, 0.409)
Hg (0.501, 0.499, 0.591)
Hg (0.501, 0.499, 0.909)
Hg (0.608, 0.392, 0.250)
Hg (0.630, 0.370, 0.653)
Hg (0.630, 0.370, 0.847)
Hg (0.749, 0.251, 0.577)
Hg (0.749, 0.251, 0.923)

---

No. 2
Compound: SmZr2Ag
Source: Alexandria
Functional: GGA-PBE
Structure: relaxed

N(E_F), states/eV/atom: 1.382
Calculated total energy, eV for the cell shown: -23.352
V, Å³/cell: 97
SG: No. 166
Energy of formation, eV/atom: 0.329

a b c (Å): 11.515 11.515 11.515
angles (deg): 15.68 15.68 15.68
Sites, in units of the cell vectors:
Sm (0.000, 0.000, 0.000)
Zr (0.095, 0.095, 0.095)
Zr (0.905, 0.905, 0.905)
Ag (0.500, 0.500, 0.500)

---

No. 3
Compound: YSc2Fe
Source: Alexandria
Functional: GGA-PBE
Structure: relaxed

N(E_F), states/eV/atom: 1.719
Calculated total energy, eV for the cell shown: -26.231
V, Å³/cell: 90
SG: No. 12
Energy of formation, eV/atom: 0.340

a b c (Å): 6.066 6.066 3.176
angles (deg): 103.70 103.70 119.63
Sites, in units of the cell vectors:
Y (0.000, 0.000, 0.000)
Sc (0.000, 0.500, 0.500)
Sc (0.500, 0.000, 0.500)
Fe (0.500, 0.500, 0.000)